P | The following is a PBE-GGA calculation of Ca2CdN after structural relaxation, from Alexandria via LeMat-Bulk.

```
data_Ca2CdN
_cell_length_a 7.052
_cell_length_b 7.052
_cell_length_c 7.052
_cell_angle_alpha 90.00
_cell_angle_beta 90.00
_cell_angle_gamma 90.00
_symmetry_space_group_name_H-M 'F m -3 m'
_symmetry_Int_Tables_number 225
_symmetry_space_group_name_Hall '-F 4 2 3'
loop_
_atom_site_label
_atom_site_type_symbol
_atom_site_fract_x
_atom_site_fract_y
_atom_site_fract_z
_atom_site_occupancy
Ca1 Ca 0.250 0.250 0.250 1
Cd1 Cd 0.000 0.000 0.000 1
N1 N 0.000 0.000 0.500 1
```

Values from the calculation:
ρ   3.91 g cm⁻³


Q | The following is a PBE-GGA calculation of Ca2CdN after structural relaxation, from Alexandria via LeMat-Bulk.

```
data_Ca2CdN
_cell_length_a 3.5629
_cell_length_b 3.5629
_cell_length_c 25.5262
_cell_angle_alpha 90.00
_cell_angle_beta 90.00
_cell_angle_gamma 120.00
_symmetry_space_group_name_H-M 'R 3 m'
_symmetry_Int_Tables_number 160
_symmetry_space_group_name_Hall 'R 3 -2"'
loop_
_atom_site_label
_atom_site_type_symbol
_atom_site_fract_x
_atom_site_fract_y
_atom_site_fract_z
_atom_site_occupancy
Ca1 Ca 0.0000 0.0000 0.0000 1
Ca2 Ca 0.0000 0.0000 0.2343 1
Cd1 Cd 0.0000 0.0000 0.7842 1
N1 N 0.0000 0.0000 0.6175 1
```

Values from the calculation:
ρ   3.67 g cm⁻³


R | The following is a PBE-GGA calculation of Ca2CdN after structural relaxation, from Alexandria via LeMat-Bulk.

```
data_Ca2CdN
_cell_length_a 3.132
_cell_length_b 3.132
_cell_length_c 8.215
_cell_angle_alpha 90.00
_cell_angle_beta 90.00
_cell_angle_gamma 90.00
_symmetry_space_group_name_H-M 'P 4/m m m'
_symmetry_Int_Tables_number 123
_symmetry_space_group_name_Hall '-P 4 2'
loop_
_atom_site_label
_atom_site_type_symbol
_atom_site_fract_x
_atom_site_fract_y
_atom_site_fract_z
_atom_site_occupancy
Ca1 Ca 0.000 0.000 0.159 1
Cd1 Cd 0.500 0.500 0.500 1
N1 N 0.500 0.500 0.000 1
```

Values from the calculation:
ρ   4.26 g cm⁻³


S | The following is a PBE-GGA calculation of Ca2CdN after structural relaxation, from Alexandria via LeMat-Bulk.

```
data_Ca2CdN
_cell_length_a 3.4816
_cell_length_b 3.4816
_cell_length_c 8.6799
_cell_angle_alpha 90.00
_cell_angle_beta 90.00
_cell_angle_gamma 120.00
_symmetry_space_group_name_H-M 'P -6 m 2'
_symmetry_Int_Tables_number 187
_symmetry_space_group_name_Hall 'P -6 2'
loop_
_atom_site_label
_atom_site_type_symbol
_atom_site_fract_x
_atom_site_fract_y
_atom_site_fract_z
_atom_site_occupancy
Ca1 Ca 0.0000 0.0000 0.1563 1
Cd1 Cd 0.3333 0.6667 0.5000 1
N1 N 0.6667 0.3333 0.0000 1
```

Values from the calculation:
ρ   3.76 g cm⁻³


Which of them is least stable? Easy: P.


P | The following is a PBE-GGA calculation of Ca4Cd2N after structural relaxation, from Alexandria via LeMat-Bulk.

```
data_Ca4Cd2N
_cell_length_a 4.872
_cell_length_b 4.872
_cell_length_c 16.305
_cell_angle_alpha 90.00
_cell_angle_beta 90.00
_cell_angle_gamma 90.00
_symmetry_space_group_name_H-M 'I 4/m m m'
_symmetry_Int_Tables_number 139
_symmetry_space_group_name_Hall '-I 4 2'
loop_
_atom_site_label
_atom_site_type_symbol
_atom_site_fract_x
_atom_site_fract_y
_atom_site_fract_z
_atom_site_occupancy
Ca1 Ca 0.000 0.000 0.154 1
Ca2 Ca 0.000 0.500 0.000 1
Cd1 Cd 0.000 0.000 0.354 1
N1 N 0.000 0.000 0.000 1
```

Values from the calculation:
ρ   3.43 g cm⁻³


Q | The following is a PBE-GGA calculation of Ca4Cd2N after structural relaxation, from Alexandria via LeMat-Bulk.

```
data_Ca4Cd2N
_cell_length_a 5.381
_cell_length_b 24.953
_cell_length_c 3.468
_cell_angle_alpha 90.00
_cell_angle_beta 90.00
_cell_angle_gamma 90.00
_symmetry_space_group_name_H-M 'C m m m'
_symmetry_Int_Tables_number 65
_symmetry_space_group_name_Hall '-C 2 2'
loop_
_atom_site_label
_atom_site_type_symbol
_atom_site_fract_x
_atom_site_fract_y
_atom_site_fract_z
_atom_site_occupancy
Ca1 Ca 0.000 0.060 0.000 1
Ca2 Ca 0.000 0.205 0.500 1
Cd1 Cd 0.000 0.326 0.000 1
N1 N 0.000 0.000 0.500 1
```

Values from the calculation:
ρ   2.85 g cm⁻³


Which of them is least stable? Easy: Q.


P | The following is a PBE-GGA calculation of Ca2CdRuN after structural relaxation, from Alexandria via LeMat-Bulk.

```
data_Ca2CdRuN
_cell_length_a 5.110
_cell_length_b 5.110
_cell_length_c 3.836
_cell_angle_alpha 90.00
_cell_angle_beta 90.00
_cell_angle_gamma 90.00
_symmetry_space_group_name_H-M 'P 4/m m m'
_symmetry_Int_Tables_number 123
_symmetry_space_group_name_Hall '-P 4 2'
loop_
_atom_site_label
_atom_site_type_symbol
_atom_site_fract_x
_atom_site_fract_y
_atom_site_fract_z
_atom_site_occupancy
Ca1 Ca 0.000 0.500 0.000 1
Cd1 Cd 0.000 0.000 0.500 1
Ru1 Ru 0.500 0.500 0.500 1
N1 N 0.500 0.500 0.000 1
```

Values from the calculation:
ρ   5.10 g cm⁻³


Q | The following is a PBE-GGA calculation of Ca2CdRuN after structural relaxation, from Alexandria via LeMat-Bulk.

```
data_Ca2CdRuN
_cell_length_a 5.808
_cell_length_b 5.808
_cell_length_c 3.872
_cell_angle_alpha 90.00
_cell_angle_beta 90.00
_cell_angle_gamma 90.00
_symmetry_space_group_name_H-M 'P 4/m m m'
_symmetry_Int_Tables_number 123
_symmetry_space_group_name_Hall '-P 4 2'
loop_
_atom_site_label
_atom_site_type_symbol
_atom_site_fract_x
_atom_site_fract_y
_atom_site_fract_z
_atom_site_occupancy
Ca1 Ca 0.000 0.500 0.000 1
Cd1 Cd 0.000 0.000 0.000 1
Ru1 Ru 0.500 0.500 0.500 1
N1 N 0.000 0.000 0.500 1
```

Values from the calculation:
ρ   3.91 g cm⁻³


Which of them is least stable? Easy: Q.